Run w
# NdBiAs

A relaxed structure of NdBiAs (PBE-GGA, OQMD via LeMat-Bulk).

size of the total moment: 0.00 μB/f.u.

Lattice parameters (Å, degrees): 5.1675 5.1675 5.1675 60.00 60.00 60.00
Closest atoms and distances in Å follow each position.
Fractional positions:
Nd1 0.0000 0.0000 0.0000  4 Bi 3.16
Bi1 0.7500 0.7500 0.7500  4 As 3.16, 4 Nd 3.16
As1 0.5000 0.5000 0.5000  4 Bi 3.16

Run x
# NdBiAs

A relaxed structure of NdBiAs (PBE-GGA, OQMD via LeMat-Bulk).

size of the total moment: 0.00 μB/f.u.

Lattice parameters (Å, degrees): 5.1672 5.1672 5.1672 60.00 60.00 60.00
Closest atoms and distances in Å follow each position.
Fractional positions:
Nd1 0.0000 0.0000 0.0000  4 As 3.16, 4 Bi 3.16
Bi1 0.2500 0.2500 0.2500  4 Nd 3.16
As1 0.7500 0.7500 0.7500  4 Nd 3.16

Result of the stability comparison: run x is the most stable of them.